(1)
The following is a PBE calculation of a geometry-optimized MnTlAg3 structure, from Alexandria via LeMat-Bulk.

Summary:
- energy above the most stable polymorph in this dataset (eV per atom) = 0.0000
- E_tot (eV per atom) = -3.3182
- space group = Pm-3m, No. 221
- formation enthalpy at 0 K (eV/atom) = 0.700
- DOS at the Fermi energy (states/eV/cell) = 1.72

Unit cell a=5.0890 b=5.0890 c=5.0890 alpha=90.00 beta=90.00 gamma=90.00
Sites, in units of the cell vectors:
Ag 0.0000 0.5000 0.0000
Ag 0.0000 0.0000 0.5000
Ag 0.5000 0.0000 0.0000
Mn 0.0000 0.0000 0.0000
Tl 0.5000 0.5000 0.5000


(2)
The following is a PBE calculation of a geometry-optimized Tm11Cd9Co4 structure, from Alexandria via LeMat-Bulk.

Summary:
- E_tot (eV per atom) = -3.8770
- space group = Cmmm, No. 65
- formation enthalpy at 0 K (eV/atom) = -0.300
- DOS at the Fermi energy (states/eV/cell) = 19.45

Unit cell a=3.5558 b=12.8172 c=12.8172 alpha=112.56 beta=90.00 gamma=90.00
Sites, in units of the cell vectors:
Tm 0.0000 0.9078 0.5797
Tm 0.0000 0.3692 0.6308
Tm 0.0000 0.3081 0.3081
Tm 0.0000 0.0000 0.0000
Tm 0.0000 0.5797 0.9078
Tm 0.0000 0.4203 0.0922
Tm 0.0000 0.8403 0.1597
Tm 0.0000 0.6308 0.3692
Tm 0.0000 0.1597 0.8403
Tm 0.0000 0.0922 0.4203
Tm 0.0000 0.6919 0.6919
Co 0.5000 0.4552 0.2623
Co 0.5000 0.2623 0.4552
Co 0.5000 0.7377 0.5448
Co 0.5000 0.5448 0.7377
Cd 0.5000 0.6342 0.1504
Cd 0.5000 0.0739 0.2177
Cd 0.5000 0.8496 0.3658
Cd 0.5000 0.2177 0.0739
Cd 0.5000 0.9261 0.7823
Cd 0.5000 0.7823 0.9261
Cd 0.5000 0.1504 0.6342
Cd 0.5000 0.5000 0.5000
Cd 0.5000 0.3658 0.8496


(3)
The following is a PBE calculation of a geometry-optimized CdHg2Ru structure, from Alexandria via LeMat-Bulk.

Summary:
- E_tot (eV per atom) = -2.2957
- space group = I-4m2, No. 119
- formation enthalpy at 0 K (eV/atom) = 0.403
- DOS at the Fermi energy (states/eV/cell) = 2.68

Unit cell a=5.4082 b=5.4082 c=5.4082 alpha=135.09 beta=135.09 gamma=65.39
Sites, in units of the cell vectors:
Hg 0.0000 0.0000 0.0000
Hg 0.2500 0.7500 0.5000
Ru 0.5000 0.5000 0.0000
Cd 0.7500 0.2500 0.5000


Q: Look up the E_tot of the third one.
A: -2.2957 eV per atom